Computed, not measured: a relaxed structure of EuVO3 at the PBE+U level of DFT.

Summary:
VASP energy ... -9.002 eV per atom
M_tot ... 8.000 μB per formula unit

a b c (Å): 3.8684 3.8684 3.9777
angles (deg): 90.00 90.00 90.00
Closest atoms and distances in Å follow each position.
Space group P4/mmm (No. 123)
Symmetry-distinct sites (fractional):
Eu: 0.0000 0.0000 0.0000 (multiplicity 1)  12 O 2.74-2.77
V: 0.5000 0.5000 0.5000 (multiplicity 1)  6 O 1.93-1.99
O: 0.0000 0.5000 0.5000 (multiplicity 2)  2 V 1.93
O: 0.5000 0.5000 0.0000 (multiplicity 1)  2 V 1.99